Record 1
First-principles (GGA-PBE) data for a relaxed structure of Li2NpMnSe4, as listed in the Alexandria database.

Its crystal system is monoclinic. The calculated total energy comes out at -5.969 eV per atom. The density of states at the Fermi level is 10.2 states/eV/cell. The uncorrected formation energy is -7.879 eV/f.u.

The space group is P2/m (No. 10) and the conventional cell measures 6.751, 3.979 and 6.817 Å, with angles of 90.00, 109.18 and 90.00 degrees. The inequivalent atoms are Li at (0.000, 0.000, 0.000), Li at (0.500, 0.500, 0.000), Np at (0.000, 0.500, 0.500), Mn at (0.500, 0.000, 0.500), Se at (0.260, 0.000, 0.754) and Se at (0.267, 0.500, 0.261).

---

Record 2
First-principles (GGA-PBE) data for a relaxed structure of Ca4MoPd2, as listed in the Alexandria database.

The calculation puts the formation energy from the elements at 0.420 eV/atom. Its crystal system is tetragonal. The calculated total energy comes out at -3.754 eV per atom. The density of states at the Fermi level is 10.3 states/eV/cell.

The space group is I4/mmm (No. 139) and the conventional cell measures 5.339, 5.339 and 14.074 Å, with angles of 90.00, 90.00 and 90.00 degrees. The inequivalent atoms are Ca at (0.000, 0.000, 0.201), Ca at (0.000, 0.500, 0.000), Mo at (0.000, 0.000, 0.000) and Pd at (0.000, 0.000, 0.397).

---

Record 3
First-principles (GGA-PBE) data for a relaxed structure of NdHoH, as listed in the Alexandria database.

The energy above the most stable polymorph in this dataset comes out at 0.6 kJ/mol of atoms. Its crystal system is trigonal. The calculated total energy comes out at -4.447 eV per atom. The density of states at the Fermi level is 2.8 states/eV/cell.

The space group is P3m1 (No. 156) and the conventional cell measures 3.6671, 3.6671 and 5.7451 Å, with angles of 90.00, 90.00 and 120.00 degrees. The inequivalent atoms are Nd at (0.0000, 0.0000, 0.0000), Ho at (0.3333, 0.6667, 0.4843) and H at (0.6667, 0.3333, 0.2594).

---

Record 4
First-principles (GGA-PBE) data for a relaxed structure of Ga2SiPt3, as listed in the Alexandria database.

Its crystal system is monoclinic. The calculated total energy comes out at -5.379 eV per atom. The density of states at the Fermi level is 8.2 states/eV/cell. The uncorrected formation energy is -2.676 eV/f.u.

The space group is C2/c (No. 15) and the conventional cell measures 6.302, 10.942 and 6.199 Å, with angles of 90.00, 110.13 and 90.00 degrees. The inequivalent atoms are Ga at (0.000, 0.066, 0.250), Ga at (0.000, 0.214, 0.750), Si at (0.000, 0.400, 0.250), Pt at (0.188, 0.419, 0.970) and Pt at (0.250, 0.250, 0.500).

---

Record 5
First-principles (GGA-PBE) data for a relaxed structure of KNaMgCl4, as listed in the Alexandria database.

Its crystal system is monoclinic. The calculated total energy comes out at -3.471 eV per atom. The density of states at the Fermi level is 0.0 states/eV/cell. The uncorrected formation energy is -12.901 eV/f.u.

The space group is P2_1/m (No. 11) and the conventional cell measures 7.052, 7.177 and 8.468 Å, with angles of 90.00, 106.77 and 90.00 degrees. The inequivalent atoms are K at (0.245, 0.250, 0.053), Na at (0.206, 0.250, 0.551), Mg at (0.258, 0.750, 0.327), Cl at (0.023, 0.506, 0.277), Cl at (0.454, 0.750, 0.148) and Cl at (0.475, 0.750, 0.592).

---

Record 6
First-principles (GGA-PBE) data for a relaxed structure of LiMnSi2Bi, as listed in the Alexandria database.

Its crystal system is tetragonal. The calculated total energy comes out at -3.900 eV per atom. The density of states at the Fermi level is 4.2 states/eV/cell. The uncorrected formation energy is 6.309 eV/f.u.

The space group is P4/mmm (No. 123) and the conventional cell measures 5.426, 5.426 and 4.905 Å, with angles of 90.00, 90.00 and 90.00 degrees. The inequivalent atoms are Li at (0.000, 0.000, 0.000), Mn at (0.500, 0.500, 0.000), Si at (0.000, 0.500, 0.500) and Bi at (0.000, 0.000, 0.500).

---

Record 7
First-principles (GGA-PBE) data for a relaxed structure of Pm3NdBi2, as listed in the Alexandria database.

The energy above the most stable polymorph in this dataset comes out at 9.1 kJ/mol of atoms. The calculation puts the formation energy from the elements at -0.553 eV/atom. Its crystal system is monoclinic. The calculated total energy comes out at -5.016 eV per atom. The density of states at the Fermi level is 31.4 states/eV/cell.

The space group is C2/m (No. 12) and the conventional cell measures 19.122, 4.486 and 10.191 Å, with angles of 90.00, 115.32 and 90.00 degrees. The inequivalent atoms are Pm at (0.057, 0.000, 0.172), Pm at (0.144, 0.500, 0.974), Pm at (0.188, 0.500, 0.391), Nd at (0.111, 0.000, 0.618), Bi at (0.009, 0.500, 0.344) and Bi at (0.248, 0.000, 0.218).

---

Record 8
First-principles (GGA-PBE) data for a relaxed structure of La2TbIn2, as listed in the Alexandria database.

The energy above the most stable polymorph in this dataset comes out at 17.2 kJ/mol of atoms. The calculation puts the formation energy from the elements at -0.219 eV/atom. Its crystal system is tetragonal. The calculated total energy comes out at -4.211 eV per atom. The density of states at the Fermi level is 12.3 states/eV/cell.

The space group is P4/mbm (No. 127) and the conventional cell measures 9.382, 9.382 and 3.564 Å, with angles of 90.00, 90.00 and 90.00 degrees. The inequivalent atoms are La at (0.117, 0.383, 0.000), Tb at (0.000, 0.000, 0.000) and In at (0.179, 0.679, 0.500).

---

Record 9
First-principles (GGA-PBE) data for a relaxed structure of TiSbRu2N, as listed in the Alexandria database.

Its crystal system is tetragonal. The calculated total energy comes out at -5.384 eV per atom. The density of states at the Fermi level is 7.2 states/eV/cell. The uncorrected formation energy is 11.975 eV/f.u.

The space group is P4/mmm (No. 123) and the conventional cell measures 4.843, 4.843 and 5.230 Å, with angles of 90.00, 90.00 and 90.00 degrees. The inequivalent atoms are Ti at (0.000, 0.000, 0.000), Sb at (0.000, 0.000, 0.500), Ru at (0.000, 0.500, 0.500) and N at (0.500, 0.500, 0.000).

---

Record 10
First-principles (GGA-PBE) data for a relaxed structure of CsBPd3, as listed in the Alexandria database.

The energy above the most stable polymorph in this dataset comes out at 197.4 kJ/mol of atoms. The calculation puts the formation energy from the elements at 2.240 eV/atom. Its crystal system is cubic. The calculated total energy comes out at -2.382 eV per atom. The density of states at the Fermi level is 2.0 states/eV/cell.

The space group is Pm-3m (No. 221) and the conventional cell measures 5.294, 5.294 and 5.294 Å, with angles of 90.00, 90.00 and 90.00 degrees. The inequivalent atoms are Cs at (0.000, 0.000, 0.000), B at (0.500, 0.500, 0.500) and Pd at (0.000, 0.000, 0.500).

---

Record 11
First-principles (GGA-PBE) data for a relaxed structure of NdErCl6, as listed in the Alexandria database.

Its crystal system is monoclinic. The calculated total energy comes out at -4.797 eV per atom. The density of states at the Fermi level is 0.0 states/eV/cell. The uncorrected formation energy is -17.964 eV/f.u.

The space group is C2/m (No. 12) and the conventional cell measures 6.737, 12.623 and 6.726 Å, with angles of 90.00, 105.73 and 90.00 degrees. The inequivalent atoms are Nd at (0.000, 0.000, 0.000), Er at (0.000, 0.500, 0.500), Cl at (0.238, 0.359, 0.740) and Cl at (0.246, 0.500, 0.257).

---

Record 12
First-principles (GGA-PBE) data for a relaxed structure of Hg2MoIr, as listed in the Alexandria database.

The energy above the most stable polymorph in this dataset comes out at 37.9 kJ/mol of atoms. The calculation puts the formation energy from the elements at 0.567 eV/atom. Its crystal system is monoclinic. The calculated total energy comes out at -4.507 eV per atom. The density of states at the Fermi level is 6.2 states/eV/cell.

The space group is C2/m (No. 12) and the conventional cell measures 9.580, 2.952 and 5.108 Å, with angles of 90.00, 100.36 and 90.00 degrees. The inequivalent atoms are Hg at (0.249, 0.000, 0.248), Mo at (0.000, 0.000, 0.500) and Ir at (0.000, 0.500, 0.000).